The following is a PBE calculation of an optimized crystal structure of SrBeRh2, from the Alexandria database.

a b c (Å): 5.8950 5.8950 5.8950
angles (deg): 42.18 42.18 42.18
Positions (direct):
Sr (0.2500, 0.2500, 0.2500)
Rh (0.0675, 0.0675, 0.0675)
Rh (0.4325, 0.4325, 0.4325)
Be (0.7500, 0.7500, 0.7500)

* symmetry: No. 166
* total magnetization: 0.0 μB/f.u.
* ΔE_f: -0.245 eV/atom
* theoretical density: 6.009 g cm⁻³
* E_tot: -5.2728 eV per atom
* DOS at the Fermi energy: 1.063 states/eV per atom